Record 1
# BaCa4Ag2 | Alexandria via LeMat-Bulk | PBE-GGA | relaxed
data_BaCa4Ag2
_chemical_formula_sum 'Ba2 Ca8 Ag4'
_cell_length_a 8.530
_cell_length_b 6.972
_cell_length_c 9.094
_cell_angle_alpha 90.00
_cell_angle_beta 112.24
_cell_angle_gamma 90.00
_space_group_name_H-M_alt 'P 1 21/m 1'
_space_group_IT_number 11
loop_
_space_group_symop_operation_xyz
'x,y,z'
'-x,-y,-z'
'-x,y+1/2,-z'
'x,-y+1/2,z'
loop_
_atom_site_label
_atom_site_fract_x
_atom_site_fract_y
_atom_site_fract_z
Ba1 0.006 0.250 0.349
Ca1 0.244 0.001 0.082
Ca2 0.348 0.250 0.769
Ca3 0.397 0.750 0.517
Ag1 0.018 0.750 0.222
Ag2 0.418 0.750 0.873
# E: -2.41 eV per atom
# Fermi-level density of states: 6.343 states/eV/f.u.
# calculated density: 3.4 g/cm³
# M_tot: 0.000 μB/atom

Record 2
# TbAs2Pd8 | Alexandria via LeMat-Bulk | PBE-GGA | relaxed
data_TbAs2Pd8
_chemical_formula_sum 'Tb1 As2 Pd8'
_cell_length_a 5.4453
_cell_length_b 5.4453
_cell_length_c 7.2282
_cell_angle_alpha 90.00
_cell_angle_beta 90.00
_cell_angle_gamma 120.00
_space_group_name_H-M_alt 'P -3 m 1'
_space_group_IT_number 164
_space_group_name_Hall '-P 3 2"'
loop_
_atom_site_label
_atom_site_fract_x
_atom_site_fract_y
_atom_site_fract_z
Tb1 0.0000 0.0000 0.0000
As1 0.3333 0.6667 0.3457
Pd1 0.1675 0.3349 0.6702
Pd2 0.3333 0.6667 0.0069
# E: -5.45 eV per atom
# Fermi-level density of states: 6.506 states/eV/f.u.
# calculated density: 10.4 g/cm³
# M_tot: 0.000 μB/atom

Record 3
# PuGaTcGe | Alexandria via LeMat-Bulk | PBE-GGA | relaxed
data_PuGaTcGe
_chemical_formula_sum 'Pu4 Ga4 Tc4 Ge4'
_cell_length_a 6.570
_cell_length_b 6.570
_cell_length_c 6.570
_cell_angle_alpha 90.00
_cell_angle_beta 90.00
_cell_angle_gamma 90.00
_space_group_name_H-M_alt 'F -4 3 m'
_space_group_IT_number 216
_space_group_name_Hall 'F -4 2 3'
loop_
_atom_site_label
_atom_site_fract_x
_atom_site_fract_y
_atom_site_fract_z
Pu1 0.000 0.000 0.000
Ga1 0.250 0.250 0.250
Tc1 0.000 0.000 0.500
Ge1 0.250 0.250 0.750
# E: -8.23 eV per atom
# Fermi-level density of states: 8.875 states/eV/f.u.
# calculated density: 11.3 g/cm³
# M_tot: 1.019 μB/atom

Record 4
# Li6Ga12Ni | Alexandria via LeMat-Bulk | PBE-GGA | relaxed
data_Li6Ga12Ni
_chemical_formula_sum 'Li18 Ga36 Ni3'
_cell_length_a 10.0416
_cell_length_b 10.0416
_cell_length_c 10.7050
_cell_angle_alpha 90.00
_cell_angle_beta 90.00
_cell_angle_gamma 120.00
_space_group_name_H-M_alt 'R -3'
_space_group_IT_number 148
_space_group_name_Hall '-R 3'
loop_
_atom_site_label
_atom_site_fract_x
_atom_site_fract_y
_atom_site_fract_z
Li1 0.0235 0.5957 0.2141
Ga1 0.0515 0.1931 0.9019
Ga2 0.0506 0.8658 0.3249
Ni1 0.0000 0.0000 0.5000
# E: -3.04 eV per atom
# Fermi-level density of states: 7.169 states/eV/f.u.
# calculated density: 5.0 g/cm³
# M_tot: 0.000 μB/atom

Record 5
# Pm6Pr2Sn | Alexandria via LeMat-Bulk | PBE-GGA | relaxed
data_Pm6Pr2Sn
_chemical_formula_sum 'Pm6 Pr2 Sn1'
_cell_length_a 9.6881
_cell_length_b 9.6881
_cell_length_c 3.7451
_cell_angle_alpha 90.00
_cell_angle_beta 90.00
_cell_angle_gamma 120.00
_space_group_name_H-M_alt 'P -6 2 m'
_space_group_IT_number 189
_space_group_name_Hall 'P -6 -2'
loop_
_atom_site_label
_atom_site_fract_x
_atom_site_fract_y
_atom_site_fract_z
Pm1 0.0000 0.3686 0.0000
Pm2 0.0000 0.7258 0.5000
Pr1 0.3333 0.6667 0.5000
Sn1 0.0000 0.0000 0.0000
# E: -4.83 eV per atom
# Fermi-level density of states: 11.916 states/eV/f.u.
# calculated density: 6.9 g/cm³
# M_tot: 0.000 μB/atom

Record 6
# AcHoScHg | Alexandria via LeMat-Bulk | PBE-GGA | relaxed
data_AcHoScHg
_chemical_formula_sum 'Ac4 Ho4 Sc4 Hg4'
_cell_length_a 7.698
_cell_length_b 7.698
_cell_length_c 7.698
_cell_angle_alpha 90.00
_cell_angle_beta 90.00
_cell_angle_gamma 90.00
_space_group_name_H-M_alt 'F -4 3 m'
_space_group_IT_number 216
_space_group_name_Hall 'F -4 2 3'
loop_
_atom_site_label
_atom_site_fract_x
_atom_site_fract_y
_atom_site_fract_z
Ac1 0.000 0.000 0.000
Ho1 0.250 0.250 0.250
Sc1 0.250 0.250 0.750
Hg1 0.000 0.000 0.500
# E: -3.74 eV per atom
# Fermi-level density of states: 7.810 states/eV/f.u.
# calculated density: 9.3 g/cm³
# M_tot: 0.214 μB/atom